Record 1
NaGdSb2 | PBE | optimized geometry

Calculated volume   107 Å³/cell
Space group   P4/mmm, No. 123
Distance to the lowest polymorph of the same formula   0.01 eV per formula unit
DOS at the Fermi energy   0.51 states/eV/atom

a b c (Å): 4.2850 5.0076 5.0076
angles (deg): 90.00 90.00 90.00
Closest atoms and distances in Å follow each position.
Fractional positions:
Sb: 0.0000 0.5000 0.0000  4 Gd 3.30, 4 Na 3.30, 4 Sb 3.54
Na: 0.5000 0.5000 0.5000  8 Sb 3.30, 4 Gd 3.54
Sb: 0.0000 0.0000 0.5000  4 Gd 3.30, 4 Na 3.30, 4 Sb 3.54
Gd: 0.5000 0.0000 0.0000  8 Sb 3.30, 4 Na 3.54



Record 2
Pu3Ge2Os | PBE | optimized geometry

Calculated volume   521 Å³/cell
E_form   -1.8 eV/f.u.
Space group   Pnma, No. 62
Distance to the lowest polymorph of the same formula   0.00 eV per formula unit
DOS at the Fermi energy   3.88 states/eV/atom

a b c (Å): 4.3192 9.9812 12.0922
angles (deg): 90.00 90.00 90.00
Closest atoms and distances in Å follow each position.
Fractional positions:
Pu: 0.2500 0.4390 0.3678  3 Os 2.95-3.04, 5 Ge 3.03-3.12, 3 Pu 3.27-3.29
Pu: 0.2500 0.4031 0.0478  1 Os 2.75, 5 Ge 2.99-3.07
Pu: 0.7500 0.2682 0.7543  2 Os 2.92, 5 Ge 3.02-3.11, 1 Pu 3.27
Pu: 0.7500 0.5610 0.6322  3 Os 2.95-3.04, 5 Ge 3.03-3.12, 3 Pu 3.27-3.29
Os: 0.7500 0.8619 0.8892  3 Ge 2.58-2.64, 1 Pu 2.75
Ge: 0.2500 0.7041 0.5019  2 Os 2.64
Pu: 0.7500 0.9390 0.1322  3 Os 2.95-3.04, 5 Ge 3.03-3.12, 3 Pu 3.27-3.29
Pu: 0.2500 0.0610 0.8678  3 Os 2.95-3.04, 5 Ge 3.03-3.12, 3 Pu 3.27-3.29
Ge: 0.2500 0.7959 0.0019  2 Os 2.64
Pu: 0.2500 0.7682 0.7457  2 Os 2.92, 5 Ge 3.02-3.11, 1 Pu 3.27
Ge: 0.7500 0.2959 0.4981  2 Os 2.64
Os: 0.2500 0.1381 0.1108  3 Ge 2.58-2.64, 1 Pu 2.75
Ge: 0.2500 0.0267 0.3032  1 Os 2.58
Ge: 0.7500 0.2041 0.9981  2 Os 2.64
Pu: 0.7500 0.9031 0.4522  1 Os 2.75, 5 Ge 2.99-3.07
Pu: 0.2500 0.0969 0.5478  1 Os 2.75, 5 Ge 2.99-3.07
Ge: 0.7500 0.5267 0.1968  1 Os 2.58
Pu: 0.7500 0.2318 0.2543  2 Os 2.92, 5 Ge 3.02-3.11, 1 Pu 3.27
Pu: 0.7500 0.5969 0.9522  1 Os 2.75, 5 Ge 2.99-3.07
Pu: 0.2500 0.7318 0.2457  2 Os 2.92, 5 Ge 3.02-3.11, 1 Pu 3.27
Ge: 0.7500 0.9733 0.6968  1 Os 2.58
Os: 0.2500 0.3619 0.6108  3 Ge 2.58-2.64, 1 Pu 2.75
Ge: 0.2500 0.4733 0.8032  1 Os 2.58
Os: 0.7500 0.6381 0.3892  3 Ge 2.58-2.64, 1 Pu 2.75



Record 3
Pm3Sm6Er | PBE | optimized geometry

Calculated volume   348 Å³/cell
E_form   2.7 eV/f.u.
Space group   C2/m, No. 12
Distance to the lowest polymorph of the same formula   1.25 eV per formula unit
DOS at the Fermi energy   1.72 states/eV/atom

a b c (Å): 6.9961 12.9889 6.7285
angles (deg): 129.55 121.32 90.00
Closest atoms and distances in Å follow each position.
Fractional positions:
Sm: 0.2856 0.3128 0.1132  4 Sm 3.20-3.44, 2 Pm 3.22-3.55, 1 Er 3.51
Sm: 0.3323 0.9934 0.6645  2 Pm 3.33-3.65, 5 Sm 3.39-3.73
Sm: 0.8276 0.3128 0.1132  4 Sm 3.20-3.44, 2 Pm 3.22-3.55, 1 Er 3.51
Er: 0.5000 0.5000 0.0000  4 Sm 3.51, 4 Pm 3.82
Pm: 0.0000 0.0000 0.0000  10 Sm 3.88-3.96
Pm: 0.8053 0.3407 0.6105  1 Pm 3.09, 3 Sm 3.22-3.33
Pm: 0.1947 0.6593 0.3895  1 Pm 3.09, 3 Sm 3.22-3.33
Sm: 0.7144 0.6872 0.8868  4 Sm 3.20-3.44, 2 Pm 3.22-3.55, 1 Er 3.51
Sm: 0.6677 0.0066 0.3355  2 Pm 3.33-3.65, 5 Sm 3.39-3.73
Sm: 0.1724 0.6872 0.8868  4 Sm 3.20-3.44, 2 Pm 3.22-3.55, 1 Er 3.51



- Which formula does entry 1 have?
  NaGdSb2



- What is the calculated volume in the third record?
  348 Å³/cell